Entry a
! PdW2Br (GGA-PBE, relaxed); values from VASP
! Total moment = 0.00 μB/cell
! Symmetry = No. 122
&SYSTEM
  ibrav = 0, nat = 8, ntyp = 3
/
ATOMIC_SPECIES
W 183.84 W.upf
Br 79.90 Br.upf
Pd 106.42 Pd.upf
ATOMIC_POSITIONS crystal
W 0.1193 0.6250 0.2500
W 0.8750 0.8807 0.7500
W 0.3750 0.3693 0.7500
W 0.6307 0.1250 0.2500
Br 0.5000 0.5000 0.0000
Br 0.2500 0.7500 0.5000
Pd 0.0000 0.0000 0.0000
Pd 0.7500 0.2500 0.5000
CELL_PARAMETERS angstrom
-3.5987 3.6009 2.4823
-2.8484 0.5097 -4.8689
-6.5769 -2.3316 0.3092

***

Entry b
! PdW2Br (GGA-PBE, relaxed); values from VASP
! Total moment = 0.00 μB/cell
! Symmetry = No. 225
&SYSTEM
  ibrav = 0, nat = 4, ntyp = 3
/
ATOMIC_SPECIES
W 183.84 W.upf
Pd 106.42 Pd.upf
Br 79.90 Br.upf
ATOMIC_POSITIONS crystal
W 0.7500 0.7500 0.7500
W 0.2500 0.2500 0.2500
Pd 0.5000 0.5000 0.5000
Br 0.0000 0.0000 0.0000
CELL_PARAMETERS angstrom
0.0000 3.1802 3.1802
3.1802 0.0000 3.1802
3.1802 3.1802 0.0000

***

The structure with the greatest stability is entry b.

***

Entry a
! Pd2WBr (GGA-PBE, relaxed); values from VASP
! Total moment = 0.00 μB/cell
! Symmetry = No. 122
&SYSTEM
  ibrav = 0, nat = 8, ntyp = 3
/
ATOMIC_SPECIES
Pd 106.42 Pd.upf
Br 79.90 Br.upf
W 183.84 W.upf
ATOMIC_POSITIONS crystal
Pd 0.8750 0.9002 0.7500
Pd 0.3750 0.3498 0.7500
Pd 0.0998 0.6250 0.2500
Pd 0.6502 0.1250 0.2500
Br 0.5000 0.5000 0.0000
Br 0.2500 0.7500 0.5000
W 0.0000 0.0000 0.0000
W 0.7500 0.2500 0.5000
CELL_PARAMETERS angstrom
6.5430 0.0000 0.0000
0.0000 6.5430 0.0000
3.2715 3.2715 4.3062

***

Entry b
! Pd2WBr (GGA-PBE, relaxed); values from VASP
! Total moment = 0.83 μB/cell
! Symmetry = No. 225
&SYSTEM
  ibrav = 0, nat = 4, ntyp = 3
/
ATOMIC_SPECIES
Pd 106.42 Pd.upf
W 183.84 W.upf
Br 79.90 Br.upf
ATOMIC_POSITIONS crystal
Pd 0.7500 0.7500 0.7500
Pd 0.2500 0.2500 0.2500
W 0.5000 0.5000 0.5000
Br 0.0000 0.0000 0.0000
CELL_PARAMETERS angstrom
0.0000 3.2587 3.2587
3.2587 0.0000 3.2587
3.2587 3.2587 0.0000

***

The structure with the greatest stability is entry a.

***

Entry a
! YPd3Br (GGA-PBE, relaxed); values from VASP
! Total moment = 0.00 μB/cell
! Symmetry = No. 221
&SYSTEM
  ibrav = 0, nat = 5, ntyp = 3
/
ATOMIC_SPECIES
Pd 106.42 Pd.upf
Br 79.90 Br.upf
Y 88.91 Y.upf
ATOMIC_POSITIONS crystal
Pd 0.0000 0.5000 0.0000
Pd 0.0000 0.0000 0.5000
Pd 0.5000 0.0000 0.0000
Br 0.5000 0.5000 0.5000
Y 0.0000 0.0000 0.0000
CELL_PARAMETERS angstrom
5.1516 0.0000 0.0000
0.0000 5.1516 0.0000
0.0000 0.0000 5.1516

***

Entry b
! YPd3Br (GGA-PBE, relaxed); values from VASP
! Total moment = 0.00 μB/cell
! Symmetry = No. 221
&SYSTEM
  ibrav = 0, nat = 5, ntyp = 3
/
ATOMIC_SPECIES
Y 88.91 Y.upf
Pd 106.42 Pd.upf
Br 79.90 Br.upf
ATOMIC_POSITIONS crystal
Y 0.5000 0.5000 0.5000
Pd 0.0000 0.5000 0.0000
Pd 0.0000 0.0000 0.5000
Pd 0.5000 0.0000 0.0000
Br 0.0000 0.0000 0.0000
CELL_PARAMETERS angstrom
-2.8629 2.5155 -2.9571
2.9154 -1.0333 -3.7015
-2.5637 -3.9840 -0.9071

***

The structure with the greatest stability is entry b.

***

Entry a
! YPd2Br (GGA-PBE, relaxed); values from VASP
! Total moment = 0.00 μB/cell
! Symmetry = No. 122
&SYSTEM
  ibrav = 0, nat = 8, ntyp = 3
/
ATOMIC_SPECIES
Pd 106.42 Pd.upf
Y 88.91 Y.upf
Br 79.90 Br.upf
ATOMIC_POSITIONS crystal
Pd 0.1375 0.6250 0.2500
Pd 0.6125 0.1250 0.2500
Pd 0.3750 0.3875 0.7500
Pd 0.8750 0.8625 0.7500
Y 0.7500 0.2500 0.5000
Y 0.0000 0.0000 0.0000
Br 0.2500 0.7500 0.5000
Br 0.5000 0.5000 0.0000
CELL_PARAMETERS angstrom
-5.1766 -5.7216 1.2133
5.6436 -4.4609 3.0423
-0.3198 -4.0488 4.6828

***

Entry b
! YPd2Br (GGA-PBE, relaxed); values from VASP
! Total moment = 0.00 μB/cell
! Symmetry = No. 225
&SYSTEM
  ibrav = 0, nat = 4, ntyp = 3
/
ATOMIC_SPECIES
Pd 106.42 Pd.upf
Br 79.90 Br.upf
Y 88.91 Y.upf
ATOMIC_POSITIONS crystal
Pd 0.7500 0.7500 0.7500
Pd 0.2500 0.2500 0.2500
Br 0.0000 0.0000 0.0000
Y 0.5000 0.5000 0.5000
CELL_PARAMETERS angstrom
0.0000 3.4561 3.4561
3.4561 0.0000 3.4561
3.4561 3.4561 0.0000

***

The structure with the greatest stability is entry a.

***

Entry a
! YPdBr2 (GGA-PBE, relaxed); values from VASP
! Total moment = 0.00 μB/cell
! Symmetry = No. 225
&SYSTEM
  ibrav = 0, nat = 4, ntyp = 3
/
ATOMIC_SPECIES
Pd 106.42 Pd.upf
Y 88.91 Y.upf
Br 79.90 Br.upf
ATOMIC_POSITIONS crystal
Pd 0.5000 0.5000 0.5000
Y 0.0000 0.0000 0.0000
Br 0.2500 0.2500 0.2500
Br 0.7500 0.7500 0.7500
CELL_PARAMETERS angstrom
0.0000 3.5383 3.5383
3.5383 0.0000 3.5383
3.5383 3.5383 0.0000

***

Entry b
! YPdBr2 (GGA-PBE, relaxed); values from VASP
! Total moment = 1.36 μB/cell
! Symmetry = No. 122
&SYSTEM
  ibrav = 0, nat = 8, ntyp = 3
/
ATOMIC_SPECIES
Pd 106.42 Pd.upf
Br 79.90 Br.upf
Y 88.91 Y.upf
ATOMIC_POSITIONS crystal
Pd 0.7500 0.2500 0.5000
Pd 0.0000 0.0000 0.0000
Br 0.1045 0.6250 0.2500
Br 0.6455 0.1250 0.2500
Br 0.8750 0.8955 0.7500
Br 0.3750 0.3545 0.7500
Y 0.5000 0.5000 0.0000
Y 0.2500 0.7500 0.5000
CELL_PARAMETERS angstrom
-2.5037 5.4062 2.3948
-5.4801 -1.1450 -3.1446
-6.0360 -0.8794 4.2832

***

The structure with the greatest stability is entry a.

***

Entry a
! YPdBr3 (GGA-PBE, relaxed); values from VASP
! Total moment = 0.82 μB/cell
! Symmetry = No. 221
&SYSTEM
  ibrav = 0, nat = 5, ntyp = 3
/
ATOMIC_SPECIES
Br 79.90 Br.upf
Pd 106.42 Pd.upf
Y 88.91 Y.upf
ATOMIC_POSITIONS crystal
Br 0.5000 0.0000 0.0000
Br 0.0000 0.5000 0.0000
Br 0.0000 0.0000 0.5000
Pd 0.0000 0.0000 0.0000
Y 0.5000 0.5000 0.5000
CELL_PARAMETERS angstrom
5.1665 0.0000 0.0000
0.0000 5.1665 0.0000
0.0000 0.0000 5.1665

***

Entry b
! YPdBr3 (GGA-PBE, relaxed); values from VASP
! Total moment = 0.00 μB/cell
! Symmetry = No. 221
&SYSTEM
  ibrav = 0, nat = 5, ntyp = 3
/
ATOMIC_SPECIES
Br 79.90 Br.upf
Pd 106.42 Pd.upf
Y 88.91 Y.upf
ATOMIC_POSITIONS crystal
Br 0.0000 0.0000 0.5000
Br 0.5000 0.0000 0.0000
Br 0.0000 0.5000 0.0000
Pd 0.5000 0.5000 0.5000
Y 0.0000 0.0000 0.0000
CELL_PARAMETERS angstrom
5.5463 0.0000 0.0000
0.0000 5.5463 0.0000
0.0000 0.0000 5.5463

***

The structure with the greatest stability is entry b.

***

Entry a
! ZnPdBr (GGA-PBE, relaxed); values from VASP
! Total moment = 0.00 μB/cell
! Symmetry = No. 38
&SYSTEM
  ibrav = 0, nat = 6, ntyp = 3
/
ATOMIC_SPECIES
Zn 65.41 Zn.upf
Br 79.90 Br.upf
Pd 106.42 Pd.upf
ATOMIC_POSITIONS crystal
Zn 0.4924 0.9849 0.0000
Zn 0.3917 0.7834 0.5000
Br 0.1693 0.3386 0.1630
Br 0.1693 0.3386 0.8370
Pd 0.7219 0.4439 0.6340
Pd 0.7219 0.4439 0.3660
CELL_PARAMETERS angstrom
3.5891 0.0000 0.0000
-1.7946 3.1832 0.0000
0.0000 0.0000 10.6922

***

Entry b
! ZnPdBr (GGA-PBE, relaxed); values from VASP
! Total moment = 0.00 μB/cell
! Symmetry = No. 1
&SYSTEM
  ibrav = 0, nat = 6, ntyp = 3
/
ATOMIC_SPECIES
Zn 65.41 Zn.upf
Pd 106.42 Pd.upf
Br 79.90 Br.upf
ATOMIC_POSITIONS crystal
Zn 0.2298 0.9129 0.6322
Zn 0.2022 0.3192 0.4183
Pd 0.7522 0.4107 0.6423
Pd 0.7029 0.8477 0.4197
Br 0.7045 0.9428 0.8527
Br 0.2392 0.5705 0.1915
CELL_PARAMETERS angstrom
3.6008 0.0000 0.0000
-0.0067 4.0731 0.0000
-0.6679 -1.5879 8.9897

***

Entry c
! ZnPdBr (GGA-PBE, relaxed); values from VASP
! Total moment = 0.00 μB/cell
! Symmetry = No. 2
&SYSTEM
  ibrav = 0, nat = 6, ntyp = 3
/
ATOMIC_SPECIES
Zn 65.41 Zn.upf
Br 79.90 Br.upf
Pd 106.42 Pd.upf
ATOMIC_POSITIONS crystal
Zn 0.9418 0.7201 0.3802
Zn 0.0582 0.2799 0.6198
Br 0.6607 0.2060 0.8295
Br 0.3393 0.7940 0.1705
Pd 0.4497 0.2416 0.3968
Pd 0.5503 0.7584 0.6032
CELL_PARAMETERS angstrom
3.4464 0.0000 -0.0003
0.0000 4.2499 0.0027
-1.6827 -1.1515 9.0317

***

The structure with the greatest stability is entry c.

***

Entry a
! ZrPdBr3 (GGA-PBE, relaxed); values from VASP
! Total moment = 2.23 μB/cell
! Symmetry = No. 221
&SYSTEM
  ibrav = 0, nat = 5, ntyp = 3
/
ATOMIC_SPECIES
Br 79.90 Br.upf
Zr 91.22 Zr.upf
Pd 106.42 Pd.upf
ATOMIC_POSITIONS crystal
Br 0.5000 0.0000 0.0000
Br 0.0000 0.0000 0.5000
Br 0.0000 0.5000 0.0000
Zr 0.5000 0.5000 0.5000
Pd 0.0000 0.0000 0.0000
CELL_PARAMETERS angstrom
-4.8346 1.1413 -1.3459
-1.2238 -4.9964 0.1590
-1.2713 0.4694 4.9649

***

Entry b
! ZrPdBr3 (GGA-PBE, relaxed); values from VASP
! Total moment = 0.00 μB/cell
! Symmetry = No. 221
&SYSTEM
  ibrav = 0, nat = 5, ntyp = 3
/
ATOMIC_SPECIES
Zr 91.22 Zr.upf
Br 79.90 Br.upf
Pd 106.42 Pd.upf
ATOMIC_POSITIONS crystal
Zr 0.0000 0.0000 0.0000
Br 0.0000 0.0000 0.5000
Br 0.5000 0.0000 0.0000
Br 0.0000 0.5000 0.0000
Pd 0.5000 0.5000 0.5000
CELL_PARAMETERS angstrom
5.2987 0.0000 0.0000
0.0000 5.2987 0.0000
0.0000 0.0000 5.2987

***

The structure with the greatest stability is entry b.

***

Entry a
! Zr2PdBr (GGA-PBE, relaxed); values from VASP
! Total moment = 0.00 μB/cell
! Symmetry = No. 225
&SYSTEM
  ibrav = 0, nat = 4, ntyp = 3
/
ATOMIC_SPECIES
Pd 106.42 Pd.upf
Zr 91.22 Zr.upf
Br 79.90 Br.upf
ATOMIC_POSITIONS crystal
Pd 0.5000 0.5000 0.5000
Zr 0.7500 0.7500 0.7500
Zr 0.2500 0.2500 0.2500
Br 0.0000 0.0000 0.0000
CELL_PARAMETERS angstrom
0.0000 3.4030 3.4030
3.4030 0.0000 3.4030
3.4030 3.4030 0.0000

***

Entry b
! Zr2PdBr (GGA-PBE, relaxed); values from VASP
! Total moment = 0.00 μB/cell
! Symmetry = No. 122
&SYSTEM
  ibrav = 0, nat = 8, ntyp = 3
/
ATOMIC_SPECIES
Zr 91.22 Zr.upf
Pd 106.42 Pd.upf
Br 79.90 Br.upf
ATOMIC_POSITIONS crystal
Zr 0.6226 0.1250 0.2500
Zr 0.1274 0.6250 0.2500
Zr 0.8750 0.8726 0.7500
Zr 0.3750 0.3774 0.7500
Pd 0.7500 0.2500 0.5000
Pd 0.0000 0.0000 0.0000
Br 0.5000 0.5000 0.0000
Br 0.2500 0.7500 0.5000
CELL_PARAMETERS angstrom
7.2936 0.0000 0.0000
0.0000 7.2936 0.0000
3.6468 3.6468 3.2379

***

The structure with the greatest stability is entry a.

***

Entry a
! ZrPd3Br (GGA-PBE, relaxed); values from VASP
! Total moment = 0.00 μB/cell
! Symmetry = No. 221
&SYSTEM
  ibrav = 0, nat = 5, ntyp = 3
/
ATOMIC_SPECIES
Pd 106.42 Pd.upf
Zr 91.22 Zr.upf
Br 79.90 Br.upf
ATOMIC_POSITIONS crystal
Pd 0.5000 0.0000 0.0000
Pd 0.0000 0.5000 0.0000
Pd 0.0000 0.0000 0.5000
Zr 0.0000 0.0000 0.0000
Br 0.5000 0.5000 0.5000
CELL_PARAMETERS angstrom
5.0053 0.0000 0.0000
0.0000 5.0053 0.0000
0.0000 0.0000 5.0053

***

Entry b
! ZrPd3Br (GGA-PBE, relaxed); values from VASP
! Total moment = 0.00 μB/cell
! Symmetry = No. 221
&SYSTEM
  ibrav = 0, nat = 5, ntyp = 3
/
ATOMIC_SPECIES
Pd 106.42 Pd.upf
Br 79.90 Br.upf
Zr 91.22 Zr.upf
ATOMIC_POSITIONS crystal
Pd 0.0000 0.0000 0.5000
Pd 0.0000 0.5000 0.0000
Pd 0.5000 0.0000 0.0000
Br 0.0000 0.0000 0.0000
Zr 0.5000 0.5000 0.5000
CELL_PARAMETERS angstrom
-0.9394 1.5380 -4.3719
-4.3160 -1.9155 0.2535
-1.6885 4.0406 1.7843

***

The structure with the greatest stability is entry b.

***

Entry a
! PmBr4 (GGA-PBE, relaxed); values from VASP
! Total moment = 0.10 μB/cell
! Symmetry = No. 12
&SYSTEM
  ibrav = 0, nat = 10, ntyp = 2
/
ATOMIC_SPECIES
Br 79.90 Br.upf
Pm 145.00 Pm.upf
ATOMIC_POSITIONS crystal
Br 0.4946 0.9895 0.2116
Br 0.9344 0.9344 0.4206
Br 0.5087 0.5087 0.7878
Br 0.9895 0.4946 0.2116
Br 0.0656 0.0656 0.5794
Br 0.0105 0.5054 0.7884
Br 0.5054 0.0105 0.7884
Br 0.4913 0.4913 0.2122
Pm 0.3343 0.3343 0.0017
Pm 0.6657 0.6657 0.9983
CELL_PARAMETERS angstrom
7.7897 0.0209 -0.1882
3.8907 6.7485 -0.1882
0.7425 0.4303 8.6035

***

Entry b
! PmBr4 (GGA-PBE, relaxed); values from VASP
! Total moment = 1.01 μB/cell
! Symmetry = No. 221
&SYSTEM
  ibrav = 0, nat = 5, ntyp = 2
/
ATOMIC_SPECIES
Pm 145.00 Pm.upf
Br 79.90 Br.upf
ATOMIC_POSITIONS crystal
Pm 0.5000 0.5000 0.5000
Br 0.0000 0.5000 0.5000
Br 0.0000 0.0000 0.0000
Br 0.5000 0.0000 0.5000
Br 0.5000 0.5000 0.0000
CELL_PARAMETERS angstrom
5.7440 0.0000 0.0000
0.0000 5.7440 0.0000
0.0000 0.0000 5.7440

***

The structure with the greatest stability is entry a.

***

Entry a
! PmPr2Br (GGA-PBE, relaxed); values from VASP
! Total moment = 0.00 μB/cell
! Symmetry = No. 123
&SYSTEM
  ibrav = 0, nat = 4, ntyp = 3
/
ATOMIC_SPECIES
Pr 140.91 Pr.upf
Pm 145.00 Pm.upf
Br 79.90 Br.upf
ATOMIC_POSITIONS crystal
Pr 0.0000 0.0000 0.2345
Pr 0.0000 0.0000 0.7655
Pm 0.5000 0.5000 0.5000
Br 0.5000 0.5000 0.0000
CELL_PARAMETERS angstrom
-1.6201 -3.2637 0.1561
3.2274 -1.5712 0.6447
-1.3715 1.1423 9.6494

***

Entry b
! PmPr2Br (GGA-PBE, relaxed); values from VASP
! Total moment = 0.00 μB/cell
! Symmetry = No. 166
&SYSTEM
  ibrav = 0, nat = 4, ntyp = 3
/
ATOMIC_SPECIES
Br 79.90 Br.upf
Pr 140.91 Pr.upf
Pm 145.00 Pm.upf
ATOMIC_POSITIONS crystal
Br 0.0000 0.0000 0.0000
Pr 0.7420 0.7420 0.7740
Pr 0.2580 0.2580 0.2260
Pm 0.5000 0.5000 0.5000
CELL_PARAMETERS angstrom
3.7674 0.0000 0.0000
1.8837 3.2627 0.0000
1.8837 1.0876 10.6681

***

The structure with the greatest stability is entry b.